The following is a DFT calculation (PBE with a Hubbard U) of KHfV2O8 after structural relaxation.

Summary:
ρ, Mg/m³: 3.44
E, eV per cell: -91.91
Volume, Å³/atom: 18.0

a = 5.7495 Å, b = 5.7495 Å, c = 7.5392 Å
α = 90.00°, β = 90.00°, γ = 120.00°
Space group P-3m1 (No. 164)
Asymmetric unit:
K 0.0000 0.0000 0.0000 x1
Hf 0.0000 0.0000 0.5000 x1
V 0.3333 0.6667 0.7400 x2
O 0.1659 0.3317 0.6645 x6
O 0.3333 0.6667 0.9617 x2